# 1
The following is a GGA-PBE calculation of an optimized crystal structure of PuTlZn4, from Alexandria via LeMat-Bulk.

a = 5.5299 Å, b = 5.5299 Å, c = 5.5299 Å
α = 60.00°, β = 60.00°, γ = 60.00°
Last column: magnetic moment on the atom in μB.
Fractional coordinates of all 6 atoms:
Tl1 0.0000 0.0000 0.0000  -0.02
Zn1 0.6240 0.6240 0.1281  0.00
Zn2 0.6240 0.1281 0.6240  0.00
Zn3 0.6240 0.6240 0.6240  0.00
Zn4 0.1281 0.6240 0.6240  0.00
Pu1 0.2500 0.2500 0.2500  5.47

Properties
- E_tot: -3.623 eV per atom
- E_form: 9.6 meV per atom
- V: 19.9 Å³ per atom
- Space group: F-43m

=====

# 2
The following is a GGA-PBE calculation of an optimized crystal structure of HfTiAgI2, from Alexandria via LeMat-Bulk.

a = 5.3187 Å, b = 5.2573 Å, c = 5.3187 Å
α = 90.00°, β = 90.00°, γ = 90.00°
Fractional coordinates of all 5 atoms:
I1 0.0000 0.0000 0.5000
I2 0.5000 0.0000 0.0000
Hf1 0.0000 0.5000 0.0000
Ag1 0.5000 0.5000 0.5000
Ti1 0.0000 0.0000 0.0000

Properties
- E_tot: -4.089 eV per atom
- V: 29.7 Å³ per atom
- Space group: P4/mmm
- Raw formation energy: 64.7 kJ/mol of atoms

=====

# 3
The following is a GGA-PBE calculation of an optimized crystal structure of Pr2ScGa, from Alexandria via LeMat-Bulk.

a = 4.7179 Å, b = 4.7729 Å, c = 4.7729 Å
α = 90.00°, β = 90.00°, γ = 90.00°
Fractional coordinates of all 4 atoms:
Pr1 0.0000 0.0000 0.5000
Pr2 0.0000 0.5000 0.0000
Sc1 0.5000 0.5000 0.5000
Ga1 0.5000 0.0000 0.0000

Properties
- E_tot: -4.955 eV per atom
- E_form: -226.0 meV per atom
- V: 26.9 Å³ per atom
- Offset from the most stable computed form: 0 meV per atom
- Space group: P4/mmm

=====

# 4
The following is a GGA-PBE calculation of an optimized crystal structure of NdScSe2, from Alexandria via LeMat-Bulk.

a = 3.8903 Å, b = 3.8899 Å, c = 7.2807 Å
α = 89.99°, β = 90.00°, γ = 120.01°
Fractional coordinates of all 4 atoms:
Nd1 0.0000 0.5000 0.5000
Sc1 0.0000 0.5000 0.0000
Se1 0.6667 0.8334 0.7786
Se2 0.3333 0.1666 0.2214

Properties
- E_tot: -6.192 eV per atom
- V: 23.9 Å³ per atom
- Offset from the most stable computed form: 39 meV per atom
- Space group: P-3m1
- Raw formation energy: -161.6 kJ/mol of atoms